DFT (PBE-GGA) results for crystalline CdTcTe2 at its relaxed geometry.

Results
Total magnetic moment: 0.0 μB/f.u.
E_tot: -4.299 eV per atom
Energy relative to the elements, uncorrected: 2.13 kcal/mol of atoms
DOS(E_F): 2.605 states/eV/f.u.

```
CdTcTe2
1.0
3.2306 0.0031 0.0000
-0.0032 3.2306 0.0000
0.0000 0.0000 9.5830
Tc Cd Te
1 1 2
direct
0.5000 0.5000 0.7500
0.5000 0.5000 0.2500
0.0000 0.0000 0.9260
0.0000 0.0000 0.5740
```